Record 1
This record from Alexandria describes a geometry-optimized CePm4Nd6 structure. The functional is PBE.

- Energy relative to the elements: 293 meV per atom
- Raw total energy: -4.575 eV per atom

Lattice parameters (Å, degrees): 6.5885 6.5885 17.9380 90.00 90.00 90.00
Space group I-42m (No. 121)
Inequivalent atoms, fractional coordinates:
Ce 0.0000 0.0000 0.0000 (multiplicity 2)
Pm 0.1900 0.1900 0.1805 (multiplicity 8)
Nd 0.0000 0.5000 0.0000 (multiplicity 4)
Nd 0.1842 0.1842 0.3696 (multiplicity 8)

Record 2
This record from Alexandria describes a geometry-optimized CsBaIr2Cl structure. The functional is PBE.

- Raw total energy: -3.100 eV per atom

Lattice parameters (Å, degrees): 5.0269 5.0269 7.1892 90.00 90.00 90.00
Space group P4/mmm (No. 123)
Inequivalent atoms, fractional coordinates:
Cs 0.0000 0.0000 0.0000 (multiplicity 1)
Ba 0.0000 0.0000 0.5000 (multiplicity 1)
Ir 0.0000 0.5000 0.0000 (multiplicity 2)
Cl 0.5000 0.5000 0.5000 (multiplicity 1)

Record 3
This record from Alexandria describes a geometry-optimized Ta3Ni8Ir2 structure. The functional is PBE.

- Energy relative to the elements: -76 meV per atom
- Raw total energy: -7.733 eV per atom

Lattice parameters (Å, degrees): 4.6464 4.6464 28.3182 90.00 90.00 120.00
Space group R-3m (No. 166, hexagonal axes)
Inequivalent atoms, fractional coordinates:
Ta 0.0000 0.0000 0.0000 (multiplicity 3)
Ta 0.0000 0.0000 0.1869 (multiplicity 6)
Ni 0.0000 0.0000 0.2731 (multiplicity 6)
Ni 0.0014 0.5007 0.7690 (multiplicity 18)
Ir 0.0000 0.0000 0.3596 (multiplicity 6)

Record 4
This record from Alexandria describes a geometry-optimized ErGa6Ru4 structure. The functional is PBE.

- Energy relative to the elements: -205 meV per atom
- Raw total energy: -5.644 eV per atom

Lattice parameters (Å, degrees): 6.5100 6.5100 9.4541 90.00 90.00 90.00
Space group I-42m (No. 121)
Inequivalent atoms, fractional coordinates:
Er 0.0000 0.0000 0.0000 (multiplicity 2)
Ga 0.0000 0.5000 0.0000 (multiplicity 4)
Ga 0.1839 0.1839 0.7081 (multiplicity 8)
Ru 0.1679 0.1679 0.4192 (multiplicity 8)

Record 5
This record from Alexandria describes a geometry-optimized K3Ag2Sn4 structure. The functional is PBE.

- Energy relative to the elements: -137 meV per atom
- Raw total energy: -2.915 eV per atom

Lattice parameters (Å, degrees): 4.7239 7.1171 10.0150 105.96 90.31 109.21
Space group P-1 (No. 2)
Inequivalent atoms, fractional coordinates:
K 0.0000 0.0000 0.0000 (multiplicity 1)
K 0.3726 0.7398 0.6158 (multiplicity 2)
Ag 0.3399 0.6845 0.2182 (multiplicity 2)
Sn 0.0846 0.1642 0.6402 (multiplicity 2)
Sn 0.2824 0.5648 0.9154 (multiplicity 2)

Record 6
This record from Alexandria describes a geometry-optimized ThZrAl2 structure. The functional is PBE.

- Energy above the most stable polymorph in this dataset: 25 meV/atom
- Energy relative to the elements: -317 meV per atom
- Raw total energy: -6.180 eV per atom

Lattice parameters (Å, degrees): 3.2369 3.2369 8.4090 90.00 90.00 90.00
Space group P4/mmm (No. 123)
Inequivalent atoms, fractional coordinates:
Th 0.0000 0.0000 0.0000 (multiplicity 1)
Zr 0.0000 0.0000 0.5000 (multiplicity 1)
Al 0.5000 0.5000 0.2737 (multiplicity 2)

Record 7
This record from Alexandria describes a geometry-optimized PuTh2Sc structure. The functional is PBE.

- Energy above the most stable polymorph in this dataset: 52 meV/atom
- Energy relative to the elements: 118 meV per atom
- Raw total energy: -8.758 eV per atom

Lattice parameters (Å, degrees): 3.4714 3.4714 33.2551 90.00 90.00 120.00
Space group R3m (No. 160, hexagonal axes)
Inequivalent atoms, fractional coordinates:
Pu 0.0000 0.0000 0.0000 (multiplicity 3)
Th 0.0000 0.0000 0.4196 (multiplicity 3)
Th 0.0000 0.0000 0.5854 (multiplicity 3)
Sc 0.0000 0.0000 0.1702 (multiplicity 3)

Record 8
This record from Alexandria describes a geometry-optimized LaNdGdHg structure. The functional is PBE.

- Energy relative to the elements: -105 meV per atom
- Raw total energy: -6.125 eV per atom

Lattice parameters (Å, degrees): 7.8788 7.8788 7.8788 90.00 90.00 90.00
Space group F-43m (No. 216)
Inequivalent atoms, fractional coordinates:
La 0.0000 0.0000 0.0000 (multiplicity 4)
Nd 0.0000 0.0000 0.5000 (multiplicity 4)
Gd 0.2500 0.2500 0.2500 (multiplicity 4)
Hg 0.2500 0.2500 0.7500 (multiplicity 4)

Record 9
This record from Alexandria describes a geometry-optimized ReBi2Mo2 structure. The functional is PBE.

- Energy above the most stable polymorph in this dataset: 0 meV/atom
- Energy relative to the elements: 1155 meV per atom
- Raw total energy: -7.220 eV per atom

Lattice parameters (Å, degrees): 3.4942 3.4942 17.8251 90.00 90.00 90.00
Space group I4/mmm (No. 139)
Inequivalent atoms, fractional coordinates:
Re 0.0000 0.0000 0.0000 (multiplicity 2)
Bi 0.0000 0.0000 0.4045 (multiplicity 4)
Mo 0.0000 0.5000 0.2500 (multiplicity 4)

Record 10
This record from Alexandria describes a geometry-optimized Y2Mg2H structure. The functional is PBE.

- Energy above the most stable polymorph in this dataset: 0 meV/atom
- Raw total energy: -3.913 eV per atom

Lattice parameters (Å, degrees): 6.4544 6.4544 5.7745 90.00 90.00 90.00
Space group P4/mbm (No. 127)
Inequivalent atoms, fractional coordinates:
Y 0.1711 0.3289 0.0000 (multiplicity 4)
Mg 0.1583 0.6583 0.5000 (multiplicity 4)
H 0.0000 0.0000 0.0000 (multiplicity 2)

Record 11
This record from Alexandria describes a geometry-optimized PtRh2 structure. The functional is PBE.

- Energy above the most stable polymorph in this dataset: 429 meV/atom
- Energy relative to the elements: 403 meV per atom
- Raw total energy: -6.512 eV per atom

Lattice parameters (Å, degrees): 7.1897 7.1897 7.1897 90.00 90.00 90.00
Space group Fd-3m (No. 227, origin choice 2)
Inequivalent atoms, fractional coordinates:
Pt 0.1250 0.1250 0.1250 (multiplicity 8)
Rh 0.0000 0.0000 0.5000 (multiplicity 16)

Record 12
This record from Alexandria describes a geometry-optimized LaDy3Tm3 structure. The functional is PBE.

- Energy above the most stable polymorph in this dataset: 0 meV/atom
- Energy relative to the elements: 251 meV per atom
- Raw total energy: -4.341 eV per atom

Lattice parameters (Å, degrees): 9.8349 9.8349 8.1028 90.00 90.00 120.00
Space group R3m (No. 160, hexagonal axes)
Inequivalent atoms, fractional coordinates:
La 0.0000 0.0000 0.0000 (multiplicity 3)
Dy 0.0960 0.5480 0.9613 (multiplicity 9)
Tm 0.0648 0.5324 0.3881 (multiplicity 9)